# CsK2Ge

An optimized crystal structure of CsK2Ge (PBE, the Alexandria database).

Values from the calculation:
Energy of formation (kJ/mol of formula units): -2
Calculated volume (Å³ per cell): 965
Calculated density (Mg/m³): 2.0

Unit cell a=10.373 b=8.553 c=11.633 alpha=90.00 beta=110.73 gamma=90.00
Fractional positions:
1 Cs 0.071 0.002 0.208
2 Cs 0.071 0.498 0.708
3 Cs 0.929 0.502 0.292
4 Cs 0.929 0.998 0.792
5 K 0.328 0.124 0.630
6 K 0.328 0.376 0.130
7 K 0.349 0.682 0.504
8 K 0.349 0.818 0.004
9 K 0.651 0.182 0.996
10 K 0.651 0.318 0.496
11 K 0.672 0.624 0.870
12 K 0.672 0.876 0.370
13 Ge 0.033 0.632 0.009
14 Ge 0.033 0.868 0.509
15 Ge 0.967 0.132 0.491
16 Ge 0.967 0.368 0.991